! LiFe2B2O6 | Alexandria via LeMat-Bulk | PBE with a Hubbard U | relaxed; values from VASP
! electronic total energy = -7.11 eV per atom
! space group = Cc (9)
! volume = 244.1 Å³ per cell
! energy above the most stable polymorph in this dataset = 0.0037 eV/atom
&SYSTEM
  ibrav = 0, nat = 22, ntyp = 4
/
ATOMIC_SPECIES
Li 6.94 Li.upf
Fe 55.84 Fe.upf
B 10.81 B.upf
O 16.00 O.upf
CELL_PARAMETERS angstrom
2.6381 -4.5788 0.0000
2.6381 4.5788 0.0000
-0.0628 0.0000 10.1060
ATOMIC_POSITIONS angstrom
Li 2.6066 4.4505 5.0530
Li 2.6381 -4.4505 0.0000
Fe 0.9447 1.5726 7.2335
Fe 2.6467 1.3956 4.6883
Fe 0.9761 -1.5726 2.1805
Fe 2.6153 -1.3956 9.7413
B 0.9628 1.5197 2.1163
B 2.6289 1.5719 9.7442
B 0.9314 -1.5197 7.1693
B 2.6604 -1.5719 4.6912
O 0.4924 0.2468 1.9388
O 1.2913 1.5546 9.2763
O 0.4610 -0.2468 6.9918
O 2.2228 1.7518 2.6334
O 3.2253 2.7984 0.0815
O 2.7705 1.9885 6.7830
O 1.3227 -1.5546 4.2233
O 3.3620 0.4310 9.7836
O 2.1914 -1.7518 7.6864
O 3.3935 -0.4310 4.7306
O 2.8019 -1.9885 1.7299
O 3.1939 -2.7984 5.1345